[1]
RbBH | PBE | optimized geometry

```
data_RbBH
_chemical_formula_sum 'Rb2 B2 H2'
_cell_length_a 4.400
_cell_length_b 4.855
_cell_length_c 6.962
_cell_angle_alpha 70.21
_cell_angle_beta 73.51
_cell_angle_gamma 89.94
_space_group_name_H-M_alt 'P 1'
_space_group_IT_number 1
_space_group_name_Hall 'P 1'
loop_
_atom_site_label
_atom_site_type_symbol
_atom_site_fract_x
_atom_site_fract_y
_atom_site_fract_z
Rb1 Rb 0.000 0.000 0.000
Rb2 Rb 0.296 0.282 0.451
B1 B 0.578 0.548 0.904
B2 B 0.712 0.676 0.661
H1 H 0.402 0.623 0.757
H2 H 0.791 0.779 0.467
```

Values from the calculation:
Energy relative to the lowest polymorph listed for this composition   0.168 eV per atom
Volume   22.24 Å³ per atom

[2]
Ir3SO | PBE | optimized geometry

```
data_Ir3SO
_chemical_formula_sum 'Ir3 S1 O1'
_cell_length_a 4.172
_cell_length_b 4.172
_cell_length_c 4.172
_cell_angle_alpha 90.00
_cell_angle_beta 90.00
_cell_angle_gamma 90.00
_space_group_name_H-M_alt 'P m -3 m'
_space_group_IT_number 221
_space_group_name_Hall '-P 4 2 3'
loop_
_atom_site_label
_atom_site_type_symbol
_atom_site_fract_x
_atom_site_fract_y
_atom_site_fract_z
Ir1 Ir 0.000 0.000 0.500
S1 S 0.500 0.500 0.500
O1 O 0.000 0.000 0.000
```

Values from the calculation:
Energy relative to the lowest polymorph listed for this composition   0.000 eV per atom
Volume   14.52 Å³ per atom
Uncorrected formation energy   6.383 eV per formula unit

[3]
Te3OsBr | PBE | optimized geometry

```
data_Te3OsBr
_chemical_formula_sum 'Te3 Os1 Br1'
_cell_length_a 5.493
_cell_length_b 5.493
_cell_length_c 5.493
_cell_angle_alpha 90.00
_cell_angle_beta 90.00
_cell_angle_gamma 90.00
_space_group_name_H-M_alt 'P m -3 m'
_space_group_IT_number 221
_space_group_name_Hall '-P 4 2 3'
loop_
_atom_site_label
_atom_site_type_symbol
_atom_site_fract_x
_atom_site_fract_y
_atom_site_fract_z
Te1 Te 0.000 0.000 0.500
Os1 Os 0.500 0.500 0.500
Br1 Br 0.000 0.000 0.000
```

Values from the calculation:
Energy relative to the lowest polymorph listed for this composition   1.370 eV per atom
Volume   33.16 Å³ per atom
Uncorrected formation energy   9.768 eV per formula unit

[4]
TcAg2HPt | PBE | optimized geometry

```
data_TcAg2HPt
_chemical_formula_sum 'Tc1 Ag2 H1 Pt1'
_cell_length_a 5.212
_cell_length_b 5.212
_cell_length_c 3.176
_cell_angle_alpha 90.00
_cell_angle_beta 90.00
_cell_angle_gamma 90.00
_space_group_name_H-M_alt 'P 4/m m m'
_space_group_IT_number 123
_space_group_name_Hall '-P 4 2'
loop_
_atom_site_label
_atom_site_type_symbol
_atom_site_fract_x
_atom_site_fract_y
_atom_site_fract_z
Tc1 Tc 0.000 0.000 0.000
Ag1 Ag 0.000 0.500 0.500
H1 H 0.500 0.500 0.000
Pt1 Pt 0.500 0.500 0.500
```

Values from the calculation:
Volume   17.26 Å³ per atom
Electronic total energy   -4.246 eV per atom

[5]
Ba2Na3Cd6 | PBE | optimized geometry

```
data_Ba2Na3Cd6
_chemical_formula_sum 'Ba4 Na6 Cd12'
_cell_length_a 11.118
_cell_length_b 14.207
_cell_length_c 4.646
_cell_angle_alpha 90.00
_cell_angle_beta 90.00
_cell_angle_gamma 90.00
_space_group_name_H-M_alt 'C m m m'
_space_group_IT_number 65
_space_group_name_Hall '-C 2 2'
loop_
_atom_site_label
_atom_site_type_symbol
_atom_site_fract_x
_atom_site_fract_y
_atom_site_fract_z
Ba1 Ba 0.000 0.201 0.000
Na1 Na 0.000 0.500 0.500
Na2 Na 0.194 0.500 0.000
Cd1 Cd 0.126 0.000 0.500
Cd2 Cd 0.202 0.342 0.500
```

Values from the calculation:
Volume   33.36 Å³ per atom
ΔE_f   -1.5 eV per formula unit

[6]
TbYPS | PBE | optimized geometry

```
data_TbYPS
_chemical_formula_sum 'Tb3 Y3 P3 S3'
_cell_length_a 3.9726
_cell_length_b 3.9726
_cell_length_c 19.5491
_cell_angle_alpha 90.00
_cell_angle_beta 90.00
_cell_angle_gamma 120.00
_space_group_name_H-M_alt 'R 3 m'
_space_group_IT_number 160
_space_group_name_Hall 'R 3 -2"'
loop_
_atom_site_label
_atom_site_type_symbol
_atom_site_fract_x
_atom_site_fract_y
_atom_site_fract_z
Tb1 Tb 0.0000 0.0000 0.0000
Y1 Y 0.0000 0.0000 0.5061
P1 P 0.0000 0.0000 0.2527
S1 S 0.0000 0.0000 0.7533
```

Values from the calculation:
Volume   22.26 Å³ per atom
Uncorrected formation energy   -7.518 eV per formula unit

[7]
Tc3GeTe | PBE | optimized geometry

```
data_Tc3GeTe
_chemical_formula_sum 'Tc3 Ge1 Te1'
_cell_length_a 4.616
_cell_length_b 4.616
_cell_length_c 4.616
_cell_angle_alpha 90.00
_cell_angle_beta 90.00
_cell_angle_gamma 90.00
_space_group_name_H-M_alt 'P m -3 m'
_space_group_IT_number 221
_space_group_name_Hall '-P 4 2 3'
loop_
_atom_site_label
_atom_site_type_symbol
_atom_site_fract_x
_atom_site_fract_y
_atom_site_fract_z
Tc1 Tc 0.000 0.000 0.500
Ge1 Ge 0.000 0.000 0.000
Te1 Te 0.500 0.500 0.500
```

Values from the calculation:
Energy relative to the lowest polymorph listed for this composition   0.000 eV per atom
Volume   19.67 Å³ per atom
Uncorrected formation energy   6.066 eV per formula unit

[8]
NaMnSe2 | PBE | optimized geometry

```
data_NaMnSe2
_chemical_formula_sum 'Na1 Mn1 Se2'
_cell_length_a 4.0258
_cell_length_b 4.0258
_cell_length_c 7.2341
_cell_angle_alpha 90.00
_cell_angle_beta 90.00
_cell_angle_gamma 120.00
_space_group_name_H-M_alt 'P 3 m 1'
_space_group_IT_number 156
_space_group_name_Hall 'P 3 -2"'
loop_
_atom_site_label
_atom_site_type_symbol
_atom_site_fract_x
_atom_site_fract_y
_atom_site_fract_z
Na1 Na 0.0000 0.0000 0.0000
Mn1 Mn 0.3333 0.6667 0.4385
Se1 Se 0.3333 0.6667 0.7558
Se2 Se 0.6667 0.3333 0.2964
```

Values from the calculation:
Volume   25.38 Å³ per atom
Uncorrected formation energy   -2.161 eV per formula unit

Which value of volume does entry 7 give? 19.67 Å³ per atom